Mg14AlCrO16 | PBEsol | optimized geometry

Unit cell a=4.2291 b=8.4151 c=8.5858 alpha=90.00 beta=90.00 gamma=90.00
With the nearest neighbours (Å) after each atom.
Sites, in units of the cell vectors:
Mg1 0.0000 0.0000 0.0000  6 O 2.07-2.18
Mg2 0.0000 0.0000 0.5000  6 O 2.11-2.21
Mg3 0.0000 0.2508 0.2488  6 O 2.11-2.16
Mg4 0.0000 0.2508 0.7512  6 O 2.11-2.16
Mg5 0.0000 0.7492 0.2488  6 O 2.11-2.16
Mg6 0.0000 0.7492 0.7512  6 O 2.11-2.16
Mg7 0.5000 0.0000 0.2490  6 O 2.11-2.16
Mg8 0.5000 0.0000 0.7510  6 O 2.11-2.16
Mg9 0.5000 0.2496 0.5000  6 O 2.10-2.14
Mg10 0.5000 0.2506 0.0000  6 O 2.10-2.15
Mg11 0.5000 0.5000 0.2492  6 O 2.10-2.15
Mg12 0.5000 0.5000 0.7508  6 O 2.10-2.15
Mg13 0.5000 0.7494 0.0000  6 O 2.10-2.15
Mg14 0.5000 0.7504 0.5000  6 O 2.10-2.14
Al1 0.0000 0.5000 0.5000  4 O 1.84-2.00
Cr1 0.0000 0.5000 0.0000  4 O 2.11-2.14
O1 0.0000 0.0000 0.2538  6 Mg 2.11-2.18
O2 0.0000 0.0000 0.7462  6 Mg 2.11-2.18
O3 0.0000 0.2457 0.0000  5 Mg 2.07-2.14, 1 Cr 2.14
O4 0.0000 0.2621 0.5000  1 Al 2.00, 5 Mg 2.12-2.21
O5 0.0000 0.5000 0.2856  1 Al 1.84
O6 0.0000 0.5000 0.7144  1 Al 1.84
O7 0.0000 0.7379 0.5000  1 Al 2.00, 5 Mg 2.12-2.21
O8 0.0000 0.7543 0.0000  5 Mg 2.07-2.14, 1 Cr 2.14
O9 0.5000 0.0000 0.0000  6 Mg 2.11-2.14
O10 0.5000 0.0000 0.5000  6 Mg 2.10-2.16
O11 0.5000 0.2509 0.2507  6 Mg 2.10-2.15
O12 0.5000 0.2509 0.7493  6 Mg 2.10-2.15
O13 0.5000 0.5000 0.0000  4 Mg 2.10-2.14, 2 Cr 2.11
O14 0.5000 0.5000 0.5000  4 Mg 2.11-2.15, 2 Al 2.11
O15 0.5000 0.7491 0.2507  6 Mg 2.10-2.15
O16 0.5000 0.7491 0.7493  6 Mg 2.10-2.15

## Properties
* calculated volume: 305.6 Å³ per cell
* total energy: -6.405 eV/atom
* ΔE_f (raw): -7970.8 kJ/mol of formula units
* space group: Pmmm
* magnetic moment: 0.14 μB per atom